10
Lattice="7.363 0.000 0.000 0.000 7.363 0.000 0.000 0.000 4.103" Properties=species:S:1:pos:R:3 comment="Ti2Bi2Se, relaxed, DFT PBE-GGA" sg="P4/mbm, No. 127" vol_a3_per_cell=222.4 total_energy_ev_per_atom=-5.626 e_form_raw_ev_per_atom=-0.22 pbc="T T T"
Ti 1.119 2.563 0.000
Ti 2.563 6.244 0.000
Ti 4.800 1.119 0.000
Ti 6.244 4.800 0.000
Bi 1.098 4.779 2.051
Bi 2.584 1.098 2.051
Bi 4.779 6.265 2.051
Bi 6.265 2.584 2.051
Se 0.000 0.000 0.000
Se 3.682 3.682 0.000